[1]
A plane-wave DFT calculation with PBEsol was carried out for a geometry-optimized Ir2WSe structure.

Its density of states at the Fermi level is 1.153 states/eV per atom. The calculation puts the energy above the most stable polymorph in this dataset at 334 meV/atom.

Cell lengths 3.878, 3.878, 4.008 Å; angles 90.00, 90.00, 90.00 degrees
Fractional positions:
Ir 0.500 0.000 0.000
Ir 0.000 0.500 0.000
W 0.000 0.000 0.500
Se 0.500 0.500 0.500

=====

[2]
A plane-wave DFT calculation with PBEsol was carried out for a geometry-optimized Zr2CdMo structure.

Its density of states at the Fermi level is 0.847 states/eV per atom. As for the calculated formation energy: -0.49 eV per formula unit.

Cell lengths 3.399, 3.399, 6.779 Å; angles 90.00, 90.00, 90.00 degrees
Fractional positions:
Mo 0.500 0.500 0.500
Cd 0.500 0.500 0.000
Zr 0.000 0.000 0.724
Zr 0.000 0.000 0.276

=====

| no. | E (eV for the cell shown) |
| --- | --- |
| 1 | -34.91 |
| 2 | -31.63 |